(1)
The following is a GGA-PBEsol calculation of an optimized crystal structure of RbCoC3, from the Alexandria database.

The energy of formation comes out at 2.2166 eV/atom.

The space group is Pm-3m (No. 221) and the conventional cell measures 3.934, 3.934 and 3.934 Å, with angles of 90.00, 90.00 and 90.00 degrees. The asymmetric unit holds Rb at (0.000, 0.000, 0.000), Co at (0.500, 0.500, 0.500) and C at (0.000, 0.500, 0.500).

=====

(2)
The following is a GGA-PBEsol calculation of an optimized crystal structure of TePdC3, from the Alexandria database.

For the energy relative to the elements, uncorrected, the calculation gives 2.488 eV/atom.

The space group is Pm-3m (No. 221) and the conventional cell measures 4.037, 4.037 and 4.037 Å, with angles of 90.00, 90.00 and 90.00 degrees. The asymmetric unit holds Te at (0.000, 0.000, 0.000), Pd at (0.500, 0.500, 0.500) and C at (0.000, 0.500, 0.500).

=====

(3)
The following is a GGA-PBEsol calculation of an optimized crystal structure of La4SbOs, from the Alexandria database.

For the energy relative to the elements, uncorrected, the calculation gives 0.548 eV/atom.

The space group is F-43m (No. 216) and the conventional cell measures 8.627, 8.627 and 8.627 Å, with angles of 90.00, 90.00 and 90.00 degrees. The asymmetric unit holds La at (0.125, 0.125, 0.125), Sb at (0.250, 0.250, 0.750) and Os at (0.000, 0.000, 0.500).

=====

(4)
The following is a GGA-PBEsol calculation of an optimized crystal structure of Mg3Cd, from the Alexandria database.

The energy of formation comes out at -0.0511 eV/atom.

The space group is P4/mmm (No. 123) and the conventional cell measures 3.203, 3.203 and 8.471 Å, with angles of 90.00, 90.00 and 90.00 degrees. The asymmetric unit holds Mg at (0.000, 0.000, 0.000), Mg at (0.500, 0.500, 0.264) and Cd at (0.000, 0.000, 0.500).

=====

(5)
The following is a GGA-PBEsol calculation of an optimized crystal structure of NiBi6Rh, from the Alexandria database.

The energy of formation comes out at -0.1210 eV/atom.

The space group is Pmc2_1 (No. 26) and the conventional cell measures 4.161, 11.289 and 8.799 Å, with angles of 90.00, 90.00 and 90.00 degrees. The asymmetric unit holds Ni at (0.000, 0.228, 0.000), Bi at (0.000, 0.137, 0.696), Bi at (0.000, 0.156, 0.291), Bi at (0.000, 0.434, 0.810), Bi at (0.500, 0.069, 0.991), Bi at (0.500, 0.345, 0.510), Bi at (0.500, 0.360, 0.103) and Rh at (0.500, 0.270, 0.808).

=====

(6)
The following is a GGA-PBEsol calculation of an optimized crystal structure of NdIn2Rh, from the Alexandria database.

The energy of formation comes out at -0.6314 eV/atom.

The space group is Cmcm (No. 63) and the conventional cell measures 4.384, 10.138 and 7.849 Å, with angles of 90.00, 90.00 and 90.00 degrees. The asymmetric unit holds Nd at (0.000, 0.068, 0.250), In at (0.000, 0.355, 0.050) and Rh at (0.000, 0.214, 0.750).

=====

(7)
The following is a GGA-PBEsol calculation of an optimized crystal structure of LaRh2Br, from the Alexandria database.

For the energy relative to the elements, uncorrected, the calculation gives -0.201 eV/atom.

The space group is R-3m (No. 166, hexagonal axes) and the conventional cell measures 4.6405, 4.6405 and 13.1825 Å, with angles of 90.00, 90.00 and 120.00 degrees. The asymmetric unit holds La at (0.0000, 0.0000, 0.0000), Rh at (0.0000, 0.0000, 0.1969) and Br at (0.0000, 0.0000, 0.5000).

=====

(8)
The following is a GGA-PBEsol calculation of an optimized crystal structure of TaAlTl, from the Alexandria database.

The energy of formation comes out at 0.3339 eV/atom.

The space group is Imm2 (No. 44) and the conventional cell measures 3.007, 3.762 and 10.011 Å, with angles of 90.00, 90.00 and 90.00 degrees. The asymmetric unit holds Ta at (0.000, 0.000, 0.000), Al at (0.000, 0.000, 0.367) and Tl at (0.000, 0.000, 0.687).

=====

(9)
The following is a GGA-PBEsol calculation of an optimized crystal structure of K3CrF6, from the Alexandria database.

For the energy relative to the elements, uncorrected, the calculation gives -2.760 eV/atom.

The space group is C2/m (No. 12) and the conventional cell measures 7.465, 10.503 and 5.601 Å, with angles of 90.00, 129.07 and 90.00 degrees. The asymmetric unit holds K at (0.000, 0.000, 0.000), K at (0.000, 0.285, 0.500), Cr at (0.000, 0.500, 0.000), F at (0.166, 0.500, 0.436) and F at (0.207, 0.373, 0.054).

=====

(10)
The following is a GGA-PBEsol calculation of an optimized crystal structure of Cd2PW, from the Alexandria database.

The energy of formation comes out at 0.2698 eV/atom.

The space group is Cm (No. 8) and the conventional cell measures 8.590, 3.269 and 5.568 Å, with angles of 90.00, 114.60 and 90.00 degrees. The asymmetric unit holds Cd at (0.000, 0.000, 0.000), Cd at (0.208, 0.000, 0.755), P at (0.485, 0.000, 0.375) and W at (0.285, 0.500, 0.383).

=====

(11)
The following is a GGA-PBEsol calculation of an optimized crystal structure of Mg2ClF, from the Alexandria database.

For the energy relative to the elements, uncorrected, the calculation gives -0.986 eV/atom.

The space group is Fm-3m (No. 225) and the conventional cell measures 6.620, 6.620 and 6.620 Å, with angles of 90.00, 90.00 and 90.00 degrees. The asymmetric unit holds Mg at (0.250, 0.250, 0.250), Cl at (0.000, 0.000, 0.000) and F at (0.000, 0.000, 0.500).

=====

(12)
The following is a GGA-PBEsol calculation of an optimized crystal structure of CrTcIr2, from the Alexandria database.

The energy of formation comes out at -0.2712 eV/atom.

The space group is Pmm2 (No. 25) and the conventional cell measures 2.684, 4.250 and 4.667 Å, with angles of 90.00, 90.00 and 90.00 degrees. The asymmetric unit holds Cr at (0.000, 0.000, 0.000), Tc at (0.000, 0.500, 0.326), Ir at (0.500, 0.000, 0.491) and Ir at (0.500, 0.500, 0.841).

=====

(13)
The following is a GGA-PBEsol calculation of an optimized crystal structure of RbTlI2, from the Alexandria database.

For the energy relative to the elements, uncorrected, the calculation gives -1.001 eV/atom.

The space group is Fm-3m (No. 225) and the conventional cell measures 8.445, 8.445 and 8.445 Å, with angles of 90.00, 90.00 and 90.00 degrees. The asymmetric unit holds Rb at (0.000, 0.000, 0.000), Tl at (0.000, 0.000, 0.500) and I at (0.250, 0.250, 0.250).

=====

(14)
The following is a GGA-PBEsol calculation of an optimized crystal structure of Zn2Ge2Te, from the Alexandria database.

For the energy relative to the elements, uncorrected, the calculation gives 0.211 eV/atom.

The space group is I4/mmm (No. 139) and the conventional cell measures 4.323, 4.323 and 10.592 Å, with angles of 90.00, 90.00 and 90.00 degrees. The asymmetric unit holds Zn at (0.000, 0.500, 0.250), Ge at (0.000, 0.000, 0.115) and Te at (0.000, 0.000, 0.500).

=====

(15)
The following is a GGA-PBEsol calculation of an optimized crystal structure of Rh, from the Alexandria database.

The energy of formation comes out at 0.6183 eV/atom.

The space group is I4_1/amd (No. 141, origin choice 2) and the conventional cell measures 4.722, 4.722 and 2.676 Å, with angles of 90.00, 90.00 and 90.00 degrees. The asymmetric unit holds Rh at (0.000, 0.250, 0.375).

=====

(16)
The following is a GGA-PBEsol calculation of an optimized crystal structure of K3AsF6, from the Alexandria database.

For the energy relative to the elements, uncorrected, the calculation gives -2.504 eV/atom.

The space group is Fm-3m (No. 225) and the conventional cell measures 8.999, 8.999 and 8.999 Å, with angles of 90.00, 90.00 and 90.00 degrees. The asymmetric unit holds K at (0.000, 0.000, 0.000), K at (0.250, 0.250, 0.250), As at (0.000, 0.000, 0.500) and F at (0.000, 0.000, 0.273).

=====

(17)
The following is a GGA-PBEsol calculation of an optimized crystal structure of TaFeAu2, from the Alexandria database.

The energy of formation comes out at 0.0325 eV/atom.

The space group is Imm2 (No. 44) and the conventional cell measures 3.783, 4.089 and 7.861 Å, with angles of 90.00, 90.00 and 90.00 degrees. The asymmetric unit holds Ta at (0.000, 0.000, 0.000), Fe at (0.000, 0.500, 0.720), Au at (0.000, 0.000, 0.478) and Au at (0.000, 0.500, 0.237).

=====

(18)
The following is a GGA-PBEsol calculation of an optimized crystal structure of TaZn2, from the Alexandria database.

The energy of formation comes out at -0.1227 eV/atom.

The space group is P6_3/mmc (No. 194) and the conventional cell measures 4.9863, 4.9863 and 7.9916 Å, with angles of 90.00, 90.00 and 120.00 degrees. The asymmetric unit holds Ta at (0.3333, 0.6667, 0.0682), Zn at (0.0000, 0.0000, 0.0000) and Zn at (0.1725, 0.3450, 0.7500).

=====

(19)
The following is a GGA-PBEsol calculation of an optimized crystal structure of SrTl2SiH, from the Alexandria database.

For the total energy, the calculation gives -15.4 eV for the cell shown.

The space group is P4/mmm (No. 123) and the conventional cell measures 5.629, 5.629 and 3.606 Å, with angles of 90.00, 90.00 and 90.00 degrees. The asymmetric unit holds Sr at (0.000, 0.000, 0.000), Tl at (0.000, 0.500, 0.500), Si at (0.500, 0.500, 0.500) and H at (0.500, 0.500, 0.000).

=====

(20)
The following is a GGA-PBEsol calculation of an optimized crystal structure of KAl2Br7, from the Alexandria database.

For the energy relative to the elements, uncorrected, the calculation gives -1.233 eV/atom.

The space group is P2_1/c (No. 14) and the conventional cell measures 10.642, 10.858 and 14.320 Å, with angles of 90.00, 123.93 and 90.00 degrees. The asymmetric unit holds K at (0.100, 0.116, 0.376), Al at (0.180, 0.724, 0.458), Al at (0.387, 0.214, 0.793), Br at (0.022, 0.091, 0.116), Br at (0.170, 0.619, 0.062), Br at (0.203, 0.103, 0.792), Br at (0.213, 0.705, 0.823), Br at (0.372, 0.228, 0.628), Br at (0.387, 0.589, 0.585) and Br at (0.425, 0.101, 0.381).